A plane-wave DFT calculation with PBE was carried out for a geometry-optimized LaAl2Ga6 structure. Values from VASP.

Cell and atoms, written as Quantum ESPRESSO input:
```
&SYSTEM
  ibrav = 0, nat = 9, ntyp = 3
/
ATOMIC_SPECIES
Ga 69.72 Ga.upf
Al 26.98 Al.upf
La 138.91 La.upf
CELL_PARAMETERS angstrom
3.261 0.000 0.000
0.000 6.919 -3.995
0.000 0.000 7.990
ATOMIC_POSITIONS angstrom
Ga 1.630 4.543 2.623
Ga 1.630 4.543 5.367
Al 3.261 4.613 0.000
La 0.000 0.000 7.990
Ga 1.630 6.919 -1.250
Ga 1.630 2.377 1.372
Al 0.000 2.306 3.995
Ga 1.630 0.000 5.245
Ga 1.630 2.377 -1.372
```

Calculated values
**V**: 20.0 Å³/atom
**Symmetry**: P6/mmm
**Mass density**: 5.6 g/cm3
**DFT formation energy**: -0.104 eV/atom
**Electronic total energy**: -31.51 eV/f.u.